# Ca2AlZn, relaxed, DFT PBE
data_Ca2AlZn
_chemical_formula_sum 'Ca2 Al1 Zn1'
_cell_length_a 3.507
_cell_length_b 3.507
_cell_length_c 8.662
_cell_angle_alpha 90.00
_cell_angle_beta 90.00
_cell_angle_gamma 90.00
_space_group_name_H-M_alt 'P 4 m m'
_space_group_IT_number 99
loop_
_space_group_symop_operation_xyz
'x,y,z'
'-y,x,z'
'-x,-y,z'
'y,-x,z'
'-x,y,z'
'y,x,z'
'x,-y,z'
'-y,-x,z'
loop_
_atom_site_label
_atom_site_type_symbol
_atom_site_fract_x
_atom_site_fract_y
_atom_site_fract_z
_atom_site_occupancy
Ca1 Ca 0.000 0.000 0.000 1
Ca2 Ca 0.500 0.500 0.374 1
Al1 Al 0.500 0.500 0.754 1
Zn1 Zn 0.000 0.000 0.607 1
# Energy of formation from the pure elements = -0.38 eV/f.u.
# Uncorrected energy = -9.402 eV for the cell shown